Entry A
The following is a PBE calculation of a geometry-optimized CsTlTc structure, from OQMD.

Summary:
- Symmetry: F-43m
- Total magnetization: 3.2 μB/f.u.

Cell: 5.659 5.659 5.659 Å, 60.00 60.00 60.00°
Atoms (fractional coordinates):
Tl 0.750 0.750 0.750
Cs 0.000 0.000 0.000
Tc 0.250 0.250 0.250

Entry B
The following is a PBE calculation of a geometry-optimized CsTlTc structure, from OQMD.

Summary:
- Symmetry: F-43m
- Total magnetization: 3.0 μB/f.u.

Cell: 5.529 5.529 5.529 Å, 60.00 60.00 60.00°
Atoms (fractional coordinates):
Tc 0.750 0.750 0.750
Cs 0.250 0.250 0.250
Tl 0.000 0.000 0.000

The most stable structure shown above is entry B; the least stable is entry A.